Computed, not measured: a relaxed Sr3Fe2RhO9 crystal at the PBE+U level of DFT.

## Properties
total magnetization	0.77	μB per atom
space group	P-3m1
V	186.3	Å³/f.u.
calculated total energy	-6.3815	eV per atom

a = 5.590 Å, b = 5.590 Å, c = 6.884 Å
α = 90.00°, β = 90.00°, γ = 120.00°
Fractional positions:
Sr 0.000 0.000 0.000
Sr 0.333 0.667 0.671
Sr 0.667 0.333 0.329
Fe 0.333 0.667 0.160
Fe 0.667 0.333 0.840
Rh 0.000 0.000 0.500
O 0.000 0.500 0.000
O 0.166 0.333 0.335
O 0.166 0.834 0.335
O 0.333 0.166 0.665
O 0.500 0.000 0.000
O 0.500 0.500 0.000
O 0.667 0.834 0.335
O 0.834 0.166 0.665
O 0.834 0.667 0.665